[1]
! Li3NbCu (SCAN, PBEsol geometry); values from VASP
! - Uncorrected energy: -9.627 eV/atom
! - Volume: 122.6 Å³ per cell
&SYSTEM
  ibrav = 0, nat = 5, ntyp = 3
/
ATOMIC_SPECIES
Li 6.94 Li.upf
Nb 92.91 Nb.upf
Cu 63.55 Cu.upf
CELL_PARAMETERS angstrom
4.968 0.000 0.000
0.000 4.968 0.000
0.000 0.000 4.968
ATOMIC_POSITIONS crystal
Li 0.000 0.000 0.500
Li 0.000 0.500 0.000
Li 0.500 0.000 0.000
Nb 0.000 0.000 0.000
Cu 0.500 0.500 0.500

***

[2]
! LiNbCu3 (SCAN, PBEsol geometry); values from VASP
! - Distance to the lowest polymorph of the same formula: 63.94 kJ/mol of atoms
! - Uncorrected energy: -14.969 eV/atom
! - Volume: 107.7 Å³ per cell
&SYSTEM
  ibrav = 0, nat = 5, ntyp = 3
/
ATOMIC_SPECIES
Li 6.94 Li.upf
Nb 92.91 Nb.upf
Cu 63.55 Cu.upf
CELL_PARAMETERS angstrom
4.758 0.000 0.000
0.000 4.758 0.000
0.000 0.000 4.758
ATOMIC_POSITIONS crystal
Li 0.000 0.000 0.000
Nb 0.500 0.500 0.500
Cu 0.000 0.500 0.500
Cu 0.500 0.000 0.500
Cu 0.500 0.500 0.000

***

[3]
! LiNb2Cu (SCAN, PBEsol geometry); values from VASP
! - Uncorrected energy: -20.626 eV/atom
! - Volume: 236.6 Å³ per cell
&SYSTEM
  ibrav = 0, nat = 16, ntyp = 3
/
ATOMIC_SPECIES
Li 6.94 Li.upf
Nb 92.91 Nb.upf
Cu 63.55 Cu.upf
CELL_PARAMETERS angstrom
6.185 0.000 0.000
0.000 6.185 0.000
0.000 0.000 6.185
ATOMIC_POSITIONS crystal
Li 0.000 0.000 0.000
Li 0.000 0.500 0.500
Li 0.500 0.000 0.500
Li 0.500 0.500 0.000
Nb 0.250 0.250 0.250
Nb 0.250 0.250 0.750
Nb 0.250 0.750 0.250
Nb 0.250 0.750 0.750
Nb 0.750 0.250 0.250
Nb 0.750 0.250 0.750
Nb 0.750 0.750 0.250
Nb 0.750 0.750 0.750
Cu 0.000 0.000 0.500
Cu 0.000 0.500 0.000
Cu 0.500 0.000 0.000
Cu 0.500 0.500 0.500

***

[4]
! LiNbCu3 (SCAN, PBEsol geometry); values from VASP
! - Distance to the lowest polymorph of the same formula: 0.00 kJ/mol of atoms
! - Uncorrected energy: -15.632 eV/atom
! - Volume: 64.3 Å³ per cell
&SYSTEM
  ibrav = 0, nat = 5, ntyp = 3
/
ATOMIC_SPECIES
Li 6.94 Li.upf
Nb 92.91 Nb.upf
Cu 63.55 Cu.upf
CELL_PARAMETERS angstrom
4.007 0.000 0.000
0.000 4.007 0.000
0.000 0.000 4.007
ATOMIC_POSITIONS crystal
Li 0.000 0.000 0.000
Nb 0.500 0.500 0.500
Cu 0.000 0.000 0.500
Cu 0.000 0.500 0.000
Cu 0.500 0.000 0.000

***

[5]
! Li5Nb2Cu3O10 (SCAN, PBEsol geometry); values from VASP
! - Uncorrected energy: -11.295 eV/atom
! - Volume: 198.5 Å³ per cell
! - Uncorrected formation energy: -1.9890 eV/atom
&SYSTEM
  ibrav = 0, nat = 20, ntyp = 4
/
ATOMIC_SPECIES
Li 6.94 Li.upf
Nb 92.91 Nb.upf
Cu 63.55 Cu.upf
O 16.00 O.upf
CELL_PARAMETERS angstrom
5.186 0.000 0.000
-1.556 5.478 0.000
-2.024 -2.133 6.987
ATOMIC_POSITIONS crystal
Li 0.000 0.000 0.000
Li 0.093 0.163 0.693
Li 0.278 0.639 0.129
Li 0.722 0.361 0.871
Li 0.907 0.837 0.307
Nb 0.386 0.770 0.796
Nb 0.614 0.230 0.204
Cu 0.200 0.372 0.399
Cu 0.500 0.000 0.500
Cu 0.800 0.628 0.601
O 0.040 0.628 0.850
O 0.166 0.852 0.565
O 0.279 0.983 0.253
O 0.362 0.156 0.946
O 0.425 0.458 0.672
O 0.575 0.542 0.328
O 0.638 0.844 0.054
O 0.721 0.017 0.747
O 0.834 0.148 0.435
O 0.960 0.372 0.150

***

[6]
! Li4Nb2V3Cu3O16 (SCAN, PBEsol geometry); values from VASP
! - Uncorrected energy: -11.966 eV/atom
! - Volume: 290.7 Å³ per cell
! - Uncorrected formation energy: -2.1957 eV/atom
&SYSTEM
  ibrav = 0, nat = 28, ntyp = 5
/
ATOMIC_SPECIES
Li 6.94 Li.upf
Nb 92.91 Nb.upf
V 50.94 V.upf
Cu 63.55 Cu.upf
O 16.00 O.upf
CELL_PARAMETERS angstrom
5.253 -2.860 0.000
5.253 2.860 0.000
-0.303 0.000 9.676
ATOMIC_POSITIONS crystal
Li 0.000 0.000 0.000
Li 0.014 0.014 0.512
Li 0.338 0.338 0.428
Li 0.643 0.643 0.917
Nb 0.344 0.344 0.014
Nb 0.678 0.678 0.515
V 0.178 0.178 0.757
V 0.361 0.842 0.236
V 0.842 0.361 0.236
Cu 0.175 0.661 0.720
Cu 0.661 0.175 0.720
Cu 0.847 0.847 0.239
O 0.012 0.012 0.804
O 0.013 0.453 0.871
O 0.025 0.025 0.321
O 0.165 0.165 0.119
O 0.175 0.674 0.112
O 0.314 0.314 0.634
O 0.351 0.859 0.605
O 0.453 0.013 0.871
O 0.464 0.464 0.865
O 0.510 0.971 0.346
O 0.525 0.525 0.351
O 0.645 0.645 0.115
O 0.674 0.175 0.112
O 0.847 0.847 0.591
O 0.859 0.351 0.605
O 0.971 0.510 0.346

***

Here are the calculated spin magnetization numbers, same order: 4.878; 0.000; 0.000; 1.737; 0.028; 2.658 (μB per cell).